(1)
Ba2Sr5CaRh | PBE | optimized geometry

Results
* N(E_F): 0.724 states/eV per atom
* crystal system: tetragonal
* ΔH_f (0 K): -1.13 eV/f.u.
* energy: -22.7 eV for the cell shown

Lattice parameters (Å, degrees): 8.573 8.573 8.573 119.86 119.86 90.25
Fractional coordinates of all 9 atoms:
Ba 0.000 0.500 0.500
Ba 0.500 0.000 0.500
Sr 0.007 0.007 0.514
Sr 0.007 0.493 0.000
Sr 0.491 0.491 0.000
Sr 0.493 0.007 0.000
Sr 0.493 0.493 0.486
Ca 0.016 0.016 0.000
Rh 0.247 0.247 0.000



(2)
Ba2SrCaRh | PBE | optimized geometry

Results
* N(E_F): 0.822 states/eV per atom
* crystal system: tetragonal
* energy above the most stable polymorph in this dataset: 26 meV per atom
* ΔH_f (0 K): -0.53 eV/f.u.
* energy: -15.4 eV for the cell shown

Lattice parameters (Å, degrees): 6.134 6.134 6.021 90.00 90.00 90.00
Fractional coordinates of all 5 atoms:
Ba 0.000 0.500 0.000
Ba 0.500 0.000 0.000
Sr 0.000 0.000 0.500
Ca 0.500 0.500 0.500
Rh 0.000 0.000 0.000



(3)
BaSrCa2Rh | PBE | optimized geometry

Results
* N(E_F): 0.948 states/eV per atom
* crystal system: tetragonal
* energy above the most stable polymorph in this dataset: 0 meV per atom
* ΔH_f (0 K): -0.92 eV/f.u.
* energy: -15.9 eV for the cell shown

Lattice parameters (Å, degrees): 5.726 5.726 5.960 90.00 90.00 90.00
Fractional coordinates of all 5 atoms:
Ba 0.000 0.000 0.000
Sr 0.500 0.500 0.000
Ca 0.000 0.500 0.500
Ca 0.500 0.000 0.500
Rh 0.500 0.500 0.500



(4)
Ba2CaTeRh | PBE | optimized geometry

Results
* N(E_F): 0.536 states/eV per atom
* crystal system: tetragonal
* formation energy from raw total energies: -0.648 eV/atom
* energy: -19.6 eV for the cell shown

Lattice parameters (Å, degrees): 5.980 5.980 5.401 90.00 90.00 90.00
Fractional coordinates of all 5 atoms:
Ba 0.000 0.500 0.000
Ba 0.500 0.000 0.000
Ca 0.000 0.000 0.500
Te 0.500 0.500 0.500
Rh 0.000 0.000 0.000



(5)
BaCa2TlRh | PBE | optimized geometry

Results
* N(E_F): 0.859 states/eV per atom
* crystal system: tetragonal
* energy above the most stable polymorph in this dataset: 0 meV per atom
* ΔH_f (0 K): -1.39 eV/f.u.
* energy: -17.0 eV for the cell shown

Lattice parameters (Å, degrees): 5.485 5.485 5.501 90.00 90.00 90.00
Fractional coordinates of all 5 atoms:
Ba 0.000 0.000 0.000
Ca 0.000 0.500 0.500
Ca 0.500 0.000 0.500
Tl 0.500 0.500 0.000
Rh 0.500 0.500 0.500



(6)
BaCa2TlRh | PBE | optimized geometry

Results
* N(E_F): 0.906 states/eV per atom
* crystal system: tetragonal
* energy above the most stable polymorph in this dataset: 63 meV per atom
* ΔH_f (0 K): -1.08 eV/f.u.
* energy: -16.7 eV for the cell shown

Lattice parameters (Å, degrees): 5.530 5.530 5.975 90.00 90.00 90.00
Fractional coordinates of all 5 atoms:
Ba 0.000 0.000 0.000
Ca 0.000 0.500 0.500
Ca 0.500 0.000 0.500
Tl 0.500 0.500 0.000
Rh 0.000 0.000 0.500